Th4SiSe2S | Alexandria via LeMat-Bulk | PBE | optimized geometry; ΔE_f (raw) = -1.4508 eV per atom; magnetization = 0.00 μB/cell
1.0
7.131 0.000 0.000
0.000 4.220 0.000
-2.488 0.000 6.902
Th Si Se S
4 1 2 1
direct
0.243 0.000 0.233
0.253 0.500 0.766
0.747 0.500 0.234
0.757 0.000 0.767
0.500 0.000 0.000
0.000 0.000 0.500
0.500 0.500 0.500
0.000 0.500 0.000